1.
A PBEsol-optimized structure of CsHoSiS4, computed with meta-GGA SCAN.

Properties
Its density of states at the Fermi level is 0.00 states/eV/f.u. The magnetic moment comes out at 0.000 μB/atom. For the formation energy (no corrections), the calculation gives -11.5 eV per formula unit. The space group is P2_12_12_1 (19).

```
28
Lattice="-3.698 5.012 -0.735 -4.794 -3.049 3.323 6.114 6.707 14.974" Properties=species:S:1:pos:R:3 pbc="T T T"
Ho 1.691 9.086 11.042
Ho -1.985 1.534 4.796
Cs -3.402 3.113 10.878
S -1.486 3.986 13.535
Si -0.700 4.043 15.505
Cs 0.379 1.658 8.694
S -2.906 6.614 11.658
S -2.963 2.015 7.347
Si 1.171 3.217 4.873
S -2.092 -0.632 3.099
S -0.698 8.277 9.826
Cs 1.764 7.436 15.778
S 0.515 6.987 12.658
S -0.663 3.789 5.800
S -2.468 3.303 2.725
S 1.393 3.756 15.212
S -1.077 7.389 5.406
S 3.583 5.407 13.392
S -1.264 5.855 16.407
Si -4.379 3.515 3.658
Si -0.847 6.564 11.087
Cs -3.496 5.133 -0.226
S -0.322 4.727 10.212
S -4.787 1.518 4.286
Ho -5.651 2.382 6.805
S 0.574 1.757 3.455
S -4.358 4.609 5.476
Ho 1.190 4.338 12.480
```



2.
A PBEsol-optimized structure of Sc5Te, computed with meta-GGA SCAN.

Properties
Its density of states at the Fermi level is 7.33 states/eV/f.u. The magnetic moment comes out at 0.000 μB/atom. For the formation energy (no corrections), the calculation gives -2.2 eV per formula unit. The space group is P4/mmm (123).

```
6
Lattice="-3.107 -0.905 -1.852 0.538 -3.590 0.853 -5.276 1.176 8.278" Properties=species:S:1:pos:R:3 pbc="T T T"
Sc -3.040 -1.856 2.254
Te -1.285 -2.247 -0.499
Sc -4.806 -1.462 5.025
Sc -4.449 0.992 6.980
Sc -2.638 0.588 4.139
Sc -0.828 0.184 1.298
```



3.
A PBEsol-optimized structure of KMo3C, computed with meta-GGA SCAN.

Properties
Its density of states at the Fermi level is 4.32 states/eV/f.u. The magnetic moment comes out at 0.000 μB/atom. The space group is Pm-3m (221). The energy of formation comes out at 626 kJ/mol of formula units.

```
5
Lattice="-3.956 1.174 -1.094 0.175 -2.578 -3.398 -1.595 -3.194 2.341" Properties=species:S:1:pos:R:3 pbc="T T T"
Mo 0.088 -1.289 -1.699
C 0.000 0.000 0.000
K -2.688 -2.299 -1.076
Mo -1.978 0.587 -0.547
Mo -0.797 -1.597 1.170
```



Question: What is the formula in the third record?
Answer: KMo3C